Entry from the Alexandria database: an optimized crystal structure of RbSb2O5 (PBE).

Output
Crystal system = orthorhombic
Uncorrected formation energy = -947 kJ/mol of formula units
Size of the total moment = 0.0 μB per formula unit

Structure (POSCAR):
```
RbSb2O5
1.0
-1.7163 2.7919 5.7617
1.7163 -2.7919 5.7617
1.7163 2.7919 -5.7617
Rb Sb O
1 2 5
direct
0.0000 0.0000 0.0000
0.3225 0.8225 0.5000
0.6775 0.1775 0.5000
0.0902 0.3293 0.7608
0.4315 0.6707 0.7608
0.5000 0.0000 0.5000
0.5685 0.3293 0.2392
0.9098 0.6707 0.2392
```

Entry from the Alexandria database: an optimized crystal structure of CuBiSe (PBE).

Output
Crystal system = orthorhombic
Uncorrected formation energy = -13 kJ/mol of formula units
Size of the total moment = 0.0 μB per formula unit

Structure (POSCAR):
```
CuBiSe
1.0
2.0513 -9.3110 0.0000
2.0513 9.3110 0.0000
0.0000 0.0000 4.1192
Cu Bi Se
2 2 2
direct
0.2223 0.7777 0.7500
0.7777 0.2223 0.2500
0.3627 0.6373 0.7500
0.6373 0.3627 0.2500
0.0957 0.9043 0.7500
0.9043 0.0957 0.2500
```

Number 1: E -43.817 eV/cell, density 6150 kg/m3. Number 2: E -23.197 eV/cell, density 7418 kg/m3.